A plane-wave DFT calculation with PBE-GGA was carried out for a relaxed structure of LaScCl.

The space group is F-43m (No. 216) and the conventional cell measures 6.830, 6.830 and 6.830 Å, with angles of 90.00, 90.00 and 90.00 degrees. The inequivalent atoms are La at (0.000, 0.000, 0.000), Sc at (0.000, 0.000, 0.500) and Cl at (0.250, 0.250, 0.750).

The crystal system is cubic. The calculation puts the energy relative to the elements, uncorrected at -408 meV/atom. The magnetization is 0.00 μB/atom. As for the energy above the most stable polymorph in this dataset: 448 meV per atom.

***

A plane-wave DFT calculation with PBE-GGA was carried out for a relaxed structure of LaSc2Cl.

The space group is R-3m (No. 166, hexagonal axes) and the conventional cell measures 3.4757, 3.4757 and 28.3018 Å, with angles of 90.00, 90.00 and 120.00 degrees. The inequivalent atoms are La at (0.0000, 0.0000, 0.0000), Sc at (0.0000, 0.0000, 0.2373) and Cl at (0.0000, 0.0000, 0.5000).

The crystal system is trigonal. The calculation puts the energy relative to the elements, uncorrected at -561 meV/atom. The magnetization is 0.00 μB/atom. As for the energy above the most stable polymorph in this dataset: 0 meV per atom.

***

A plane-wave DFT calculation with PBE-GGA was carried out for a relaxed structure of LaSc2Cl.

The space group is Pmmm (No. 47) and the conventional cell measures 3.365, 5.394 and 5.785 Å, with angles of 90.00, 90.00 and 90.00 degrees. The inequivalent atoms are La at (0.000, 0.000, 0.000), Sc at (0.000, 0.500, 0.500), Sc at (0.500, 0.000, 0.500) and Cl at (0.500, 0.500, 0.000).

The crystal system is orthorhombic. The calculation puts the energy relative to the elements, uncorrected at -322 meV/atom. The magnetization is 0.00 μB/atom. As for the energy above the most stable polymorph in this dataset: 238 meV per atom.

***

A plane-wave DFT calculation with PBE-GGA was carried out for a relaxed structure of LaSc2Cl.

The space group is Amm2 (No. 38) and the conventional cell measures 4.675, 3.651 and 12.683 Å, with angles of 90.00, 90.00 and 90.00 degrees. The inequivalent atoms are La at (0.000, 0.000, 0.000), Sc at (0.000, 0.000, 0.261), Sc at (0.500, 0.000, 0.689) and Cl at (0.500, 0.000, 0.488).

The crystal system is orthorhombic. The calculation puts the energy relative to the elements, uncorrected at -461 meV/atom. The magnetization is 0.00 μB/atom. As for the energy above the most stable polymorph in this dataset: 99 meV per atom.

***

A plane-wave DFT calculation with PBE-GGA was carried out for a relaxed structure of LaSc2SeCl.

The space group is P4/mmm (No. 123) and the conventional cell measures 4.918, 4.918 and 6.630 Å, with angles of 90.00, 90.00 and 90.00 degrees. The inequivalent atoms are La at (0.000, 0.000, 0.000), Sc at (0.000, 0.500, 0.500), Se at (0.500, 0.500, 0.500) and Cl at (0.500, 0.500, 0.000).

The crystal system is tetragonal. The calculation puts the energy relative to the elements, uncorrected at -481 meV/atom. The magnetization is 0.68 μB/atom.

***

A plane-wave DFT calculation with PBE-GGA was carried out for a relaxed structure of La2ScTeCl.

The space group is P4/mmm (No. 123) and the conventional cell measures 5.800, 5.800 and 5.286 Å, with angles of 90.00, 90.00 and 90.00 degrees. The inequivalent atoms are La at (0.000, 0.500, 0.000), Sc at (0.000, 0.000, 0.000), Te at (0.000, 0.000, 0.500) and Cl at (0.500, 0.500, 0.500).

The crystal system is tetragonal. The calculation puts the energy relative to the elements, uncorrected at -336 meV/atom. The magnetization is 0.00 μB/atom. As for the energy above the most stable polymorph in this dataset: 435 meV per atom.

***

A plane-wave DFT calculation with PBE-GGA was carried out for a relaxed structure of La2ScTeCl.

The space group is P4/mmm (No. 123) and the conventional cell measures 5.493, 5.493 and 4.730 Å, with angles of 90.00, 90.00 and 90.00 degrees. The inequivalent atoms are La at (0.000, 0.500, 0.000), Sc at (0.000, 0.000, 0.500), Te at (0.500, 0.500, 0.500) and Cl at (0.000, 0.000, 0.000).

The crystal system is tetragonal. The calculation puts the energy relative to the elements, uncorrected at -771 meV/atom. The magnetization is 0.00 μB/atom. As for the energy above the most stable polymorph in this dataset: 0 meV per atom.

***

A plane-wave DFT calculation with PBE-GGA was carried out for a relaxed structure of La2SeCl2.

The space group is P4/mbm (No. 127) and the conventional cell measures 7.898, 7.898 and 4.237 Å, with angles of 90.00, 90.00 and 90.00 degrees. The inequivalent atoms are La at (0.161, 0.339, 0.000), Se at (0.000, 0.000, 0.000) and Cl at (0.138, 0.638, 0.500).

The crystal system is tetragonal. The calculation puts the energy relative to the elements, uncorrected at -1799 meV/atom. The magnetization is 0.00 μB/atom.

***

A plane-wave DFT calculation with PBE-GGA was carried out for a relaxed structure of La2SeCl2.

The space group is C2/m (No. 12) and the conventional cell measures 7.384, 4.256 and 10.093 Å, with angles of 90.00, 90.51 and 90.00 degrees. The inequivalent atoms are La at (0.169, 0.000, 0.166), Se at (0.000, 0.500, 0.000) and Cl at (0.162, 0.000, 0.670).

The crystal system is monoclinic. The calculation puts the energy relative to the elements, uncorrected at -2096 meV/atom. The magnetization is 0.00 μB/atom.

***

A plane-wave DFT calculation with PBE-GGA was carried out for a relaxed structure of LaSeCl.

The space group is F-43m (No. 216) and the conventional cell measures 6.837, 6.837 and 6.837 Å, with angles of 90.00, 90.00 and 90.00 degrees. The inequivalent atoms are La at (0.000, 0.000, 0.000), Se at (0.000, 0.000, 0.500) and Cl at (0.250, 0.250, 0.250).

The crystal system is cubic. The calculation puts the energy relative to the elements, uncorrected at -1637 meV/atom. The magnetization is 0.00 μB/atom.

***

A plane-wave DFT calculation with PBE-GGA was carried out for a relaxed structure of LaSe6Cl12.

The space group is R-3 (No. 148, hexagonal axes) and the conventional cell measures 8.5673, 8.5673 and 35.2588 Å, with angles of 90.00, 90.00 and 120.00 degrees. The inequivalent atoms are La at (0.0000, 0.0000, 0.0000), Se at (0.0611, 0.1937, 0.7504), Cl at (0.0183, 0.6364, 0.8652) and Cl at (0.0348, 0.7505, 0.0452).

The crystal system is trigonal. The calculation puts the energy relative to the elements, uncorrected at -556 meV/atom. The magnetization is 0.00 μB/atom.

***

A plane-wave DFT calculation with PBE-GGA was carried out for a relaxed structure of LaSe3Cl.

The space group is Pm-3m (No. 221) and the conventional cell measures 5.909, 5.909 and 5.909 Å, with angles of 90.00, 90.00 and 90.00 degrees. The inequivalent atoms are La at (0.000, 0.000, 0.000), Se at (0.000, 0.000, 0.500) and Cl at (0.500, 0.500, 0.500).

The crystal system is cubic. The calculation puts the energy relative to the elements, uncorrected at -156 meV/atom. The magnetization is 0.80 μB/atom. As for the energy above the most stable polymorph in this dataset: 268 meV per atom.

***

A plane-wave DFT calculation with PBE-GGA was carried out for a relaxed structure of LaSeCl.

The space group is Pmmn (No. 59, origin choice 2) and the conventional cell measures 4.439, 5.817 and 8.064 Å, with angles of 90.00, 90.00 and 90.00 degrees. The inequivalent atoms are La at (0.250, 0.250, 0.169), Se at (0.250, 0.750, 0.086) and Cl at (0.250, 0.750, 0.612).

The crystal system is orthorhombic. The calculation puts the energy relative to the elements, uncorrected at -2176 meV/atom. The magnetization is 0.00 μB/atom.

***

A plane-wave DFT calculation with PBE-GGA was carried out for a relaxed structure of LaSe3Cl.

The space group is Pm-3m (No. 221) and the conventional cell measures 5.018, 5.018 and 5.018 Å, with angles of 90.00, 90.00 and 90.00 degrees. The inequivalent atoms are La at (0.000, 0.000, 0.000), Se at (0.000, 0.500, 0.500) and Cl at (0.500, 0.500, 0.500).

The crystal system is cubic. The calculation puts the energy relative to the elements, uncorrected at -424 meV/atom. The magnetization is 0.00 μB/atom. As for the energy above the most stable polymorph in this dataset: 0 meV per atom.